## P
## Al2RuW (PBE)

Data for crystalline Al2RuW at its relaxed geometry.

Geometry as CIF:
```
data_Al2RuW
_cell_length_a 3.873
_cell_length_b 3.873
_cell_length_c 7.908
_cell_angle_alpha 90.00
_cell_angle_beta 90.00
_cell_angle_gamma 90.00
_symmetry_space_group_name_H-M 'I 4/m m m'
_symmetry_Int_Tables_number 139
_symmetry_space_group_name_Hall '-I 4 2'
loop_
_atom_site_label
_atom_site_fract_x
_atom_site_fract_y
_atom_site_fract_z
Al1 0.000 0.500 0.250
Ru1 0.000 0.000 0.000
W1 0.000 0.000 0.500
```

The total magnetization is 0.00 μB/atom.


## Q
## Al2RuW (PBE)

Data for crystalline Al2RuW at its relaxed geometry.

Geometry as CIF:
```
data_Al2RuW
_cell_length_a 5.377
_cell_length_b 7.785
_cell_length_c 2.843
_cell_angle_alpha 90.00
_cell_angle_beta 90.00
_cell_angle_gamma 90.00
_symmetry_space_group_name_H-M 'C m m m'
_symmetry_Int_Tables_number 65
_symmetry_space_group_name_Hall '-C 2 2'
loop_
_atom_site_label
_atom_site_fract_x
_atom_site_fract_y
_atom_site_fract_z
Al1 0.250 0.250 0.000
Ru1 0.000 0.000 0.500
W1 0.000 0.500 0.500
```

The total magnetization is 0.00 μB/atom.


Most stable of them? Q.


## P
## YAlRu3 (PBE)

Data for crystalline YAlRu3 at its relaxed geometry.

Geometry as CIF:
```
data_YAlRu3
_cell_length_a 4.515
_cell_length_b 4.515
_cell_length_c 4.515
_cell_angle_alpha 90.00
_cell_angle_beta 90.00
_cell_angle_gamma 90.00
_symmetry_space_group_name_H-M 'P m -3 m'
_symmetry_Int_Tables_number 221
_symmetry_space_group_name_Hall '-P 4 2 3'
loop_
_atom_site_label
_atom_site_fract_x
_atom_site_fract_y
_atom_site_fract_z
Y1 0.000 0.000 0.000
Al1 0.500 0.500 0.500
Ru1 0.000 0.500 0.500
```

The total magnetization is 0.00 μB/atom.


## Q
## YAlRu3 (PBE)

Data for crystalline YAlRu3 at its relaxed geometry.

Geometry as CIF:
```
data_YAlRu3
_cell_length_a 4.855
_cell_length_b 4.855
_cell_length_c 4.855
_cell_angle_alpha 90.00
_cell_angle_beta 90.00
_cell_angle_gamma 90.00
_symmetry_space_group_name_H-M 'P m -3 m'
_symmetry_Int_Tables_number 221
_symmetry_space_group_name_Hall '-P 4 2 3'
loop_
_atom_site_label
_atom_site_fract_x
_atom_site_fract_y
_atom_site_fract_z
Y1 0.000 0.000 0.000
Al1 0.500 0.500 0.500
Ru1 0.000 0.000 0.500
```

The total magnetization is 0.79 μB/atom.


Most stable of them? P.


## P
## YAl2Ru2 (PBE)

Data for crystalline YAl2Ru2 at its relaxed geometry.

Geometry as CIF:
```
data_YAl2Ru2
_cell_length_a 4.014
_cell_length_b 4.014
_cell_length_c 22.241
_cell_angle_alpha 90.00
_cell_angle_beta 90.00
_cell_angle_gamma 90.00
_symmetry_space_group_name_H-M 'I 4/m m m'
_symmetry_Int_Tables_number 139
_symmetry_space_group_name_Hall '-I 4 2'
loop_
_atom_site_label
_atom_site_fract_x
_atom_site_fract_y
_atom_site_fract_z
Y1 0.000 0.000 0.126
Al1 0.000 0.000 0.318
Al2 0.000 0.500 0.000
Ru1 0.000 0.000 0.432
Ru2 0.000 0.500 0.250
```

The total magnetization is 0.02 μB/atom.


## Q
## YAl2Ru2 (PBE)

Data for crystalline YAl2Ru2 at its relaxed geometry.

Geometry as CIF:
```
data_YAl2Ru2
_cell_length_a 4.493
_cell_length_b 4.493
_cell_length_c 9.050
_cell_angle_alpha 90.00
_cell_angle_beta 90.00
_cell_angle_gamma 90.00
_symmetry_space_group_name_H-M 'I 4/m m m'
_symmetry_Int_Tables_number 139
_symmetry_space_group_name_Hall '-I 4 2'
loop_
_atom_site_label
_atom_site_fract_x
_atom_site_fract_y
_atom_site_fract_z
Y1 0.000 0.000 0.000
Al1 0.000 0.000 0.353
Ru1 0.000 0.500 0.250
```

The total magnetization is 0.00 μB/atom.


Most stable of them? P.


## P
## YAl2Ru2 (PBE)

Data for crystalline YAl2Ru2 at its relaxed geometry.

Geometry as CIF:
```
data_YAl2Ru2
_cell_length_a 7.343
_cell_length_b 7.343
_cell_length_c 3.077
_cell_angle_alpha 90.00
_cell_angle_beta 90.00
_cell_angle_gamma 90.00
_symmetry_space_group_name_H-M 'P 4/m b m'
_symmetry_Int_Tables_number 127
_symmetry_space_group_name_Hall '-P 4 2ab'
loop_
_atom_site_label
_atom_site_fract_x
_atom_site_fract_y
_atom_site_fract_z
Y1 0.000 0.000 0.000
Al1 0.138 0.362 0.500
Ru1 0.153 0.653 0.000
```

The total magnetization is 0.00 μB/atom.


## Q
## YAl2Ru2 (PBE)

Data for crystalline YAl2Ru2 at its relaxed geometry.

Geometry as CIF:
```
data_YAl2Ru2
_cell_length_a 7.355
_cell_length_b 7.355
_cell_length_c 3.052
_cell_angle_alpha 90.00
_cell_angle_beta 90.00
_cell_angle_gamma 90.00
_symmetry_space_group_name_H-M 'P 4/m b m'
_symmetry_Int_Tables_number 127
_symmetry_space_group_name_Hall '-P 4 2ab'
loop_
_atom_site_label
_atom_site_fract_x
_atom_site_fract_y
_atom_site_fract_z
Y1 0.000 0.000 0.000
Al1 0.125 0.375 0.000
Ru1 0.166 0.666 0.500
```

The total magnetization is 0.00 μB/atom.


Most stable of them? Q.


## P
## Al2ZnRu2 (PBE)

Data for crystalline Al2ZnRu2 at its relaxed geometry.

Geometry as CIF:
```
data_Al2ZnRu2
_cell_length_a 6.834
_cell_length_b 6.834
_cell_length_c 3.066
_cell_angle_alpha 90.00
_cell_angle_beta 90.00
_cell_angle_gamma 90.00
_symmetry_space_group_name_H-M 'P 4/m b m'
_symmetry_Int_Tables_number 127
_symmetry_space_group_name_Hall '-P 4 2ab'
loop_
_atom_site_label
_atom_site_fract_x
_atom_site_fract_y
_atom_site_fract_z
Al1 0.135 0.365 0.000
Zn1 0.000 0.000 0.000
Ru1 0.162 0.662 0.500
```

The total magnetization is 0.00 μB/atom.


## Q
## Al2ZnRu2 (PBE)

Data for crystalline Al2ZnRu2 at its relaxed geometry.

Geometry as CIF:
```
data_Al2ZnRu2
_cell_length_a 6.747
_cell_length_b 6.747
_cell_length_c 3.232
_cell_angle_alpha 90.00
_cell_angle_beta 90.00
_cell_angle_gamma 90.00
_symmetry_space_group_name_H-M 'P 4/m b m'
_symmetry_Int_Tables_number 127
_symmetry_space_group_name_Hall '-P 4 2ab'
loop_
_atom_site_label
_atom_site_fract_x
_atom_site_fract_y
_atom_site_fract_z
Al1 0.146 0.354 0.000
Zn1 0.000 0.000 0.500
Ru1 0.152 0.652 0.500
```

The total magnetization is 0.00 μB/atom.


Most stable of them? Q.


## P
## AlZn3Ru (PBE)

Data for crystalline AlZn3Ru at its relaxed geometry.

Geometry as CIF:
```
data_AlZn3Ru
_cell_length_a 4.782
_cell_length_b 4.782
_cell_length_c 4.782
_cell_angle_alpha 90.00
_cell_angle_beta 90.00
_cell_angle_gamma 90.00
_symmetry_space_group_name_H-M 'P m -3 m'
_symmetry_Int_Tables_number 221
_symmetry_space_group_name_Hall '-P 4 2 3'
loop_
_atom_site_label
_atom_site_fract_x
_atom_site_fract_y
_atom_site_fract_z
Al1 0.000 0.000 0.000
Zn1 0.000 0.500 0.500
Ru1 0.500 0.500 0.500
```

The total magnetization is 0.00 μB/atom.


## Q
## AlZn3Ru (PBE)

Data for crystalline AlZn3Ru at its relaxed geometry.

Geometry as CIF:
```
data_AlZn3Ru
_cell_length_a 4.615
_cell_length_b 4.615
_cell_length_c 4.615
_cell_angle_alpha 90.00
_cell_angle_beta 90.00
_cell_angle_gamma 90.00
_symmetry_space_group_name_H-M 'P m -3 m'
_symmetry_Int_Tables_number 221
_symmetry_space_group_name_Hall '-P 4 2 3'
loop_
_atom_site_label
_atom_site_fract_x
_atom_site_fract_y
_atom_site_fract_z
Al1 0.000 0.000 0.000
Zn1 0.000 0.000 0.500
Ru1 0.500 0.500 0.500
```

The total magnetization is 0.45 μB/atom.


Most stable of them? P.


## P
## Al3ZnRu (PBE)

Data for crystalline Al3ZnRu at its relaxed geometry.

Geometry as CIF:
```
data_Al3ZnRu
_cell_length_a 4.723
_cell_length_b 4.723
_cell_length_c 4.723
_cell_angle_alpha 90.00
_cell_angle_beta 90.00
_cell_angle_gamma 90.00
_symmetry_space_group_name_H-M 'P m -3 m'
_symmetry_Int_Tables_number 221
_symmetry_space_group_name_Hall '-P 4 2 3'
loop_
_atom_site_label
_atom_site_fract_x
_atom_site_fract_y
_atom_site_fract_z
Al1 0.000 0.000 0.500
Zn1 0.500 0.500 0.500
Ru1 0.000 0.000 0.000
```

The total magnetization is 0.00 μB/atom.


## Q
## Al3ZnRu (PBE)

Data for crystalline Al3ZnRu at its relaxed geometry.

Geometry as CIF:
```
data_Al3ZnRu
_cell_length_a 4.500
_cell_length_b 4.500
_cell_length_c 4.500
_cell_angle_alpha 90.00
_cell_angle_beta 90.00
_cell_angle_gamma 90.00
_symmetry_space_group_name_H-M 'P m -3 m'
_symmetry_Int_Tables_number 221
_symmetry_space_group_name_Hall '-P 4 2 3'
loop_
_atom_site_label
_atom_site_fract_x
_atom_site_fract_y
_atom_site_fract_z
Al1 0.000 0.000 0.500
Zn1 0.000 0.000 0.000
Ru1 0.500 0.500 0.500
```

The total magnetization is 0.14 μB/atom.


Most stable of them? P.


## P
## Zr3AlRu (PBE)

Data for crystalline Zr3AlRu at its relaxed geometry.

Geometry as CIF:
```
data_Zr3AlRu
_cell_length_a 4.981
_cell_length_b 4.981
_cell_length_c 4.981
_cell_angle_alpha 90.00
_cell_angle_beta 90.00
_cell_angle_gamma 90.00
_symmetry_space_group_name_H-M 'P m -3 m'
_symmetry_Int_Tables_number 221
_symmetry_space_group_name_Hall '-P 4 2 3'
loop_
_atom_site_label
_atom_site_fract_x
_atom_site_fract_y
_atom_site_fract_z
Zr1 0.000 0.000 0.500
Al1 0.500 0.500 0.500
Ru1 0.000 0.000 0.000
```

The total magnetization is 0.00 μB/atom.


## Q
## Zr3AlRu (PBE)

Data for crystalline Zr3AlRu at its relaxed geometry.

Geometry as CIF:
```
data_Zr3AlRu
_cell_length_a 4.903
_cell_length_b 4.903
_cell_length_c 4.903
_cell_angle_alpha 90.00
_cell_angle_beta 90.00
_cell_angle_gamma 90.00
_symmetry_space_group_name_H-M 'P m -3 m'
_symmetry_Int_Tables_number 221
_symmetry_space_group_name_Hall '-P 4 2 3'
loop_
_atom_site_label
_atom_site_fract_x
_atom_site_fract_y
_atom_site_fract_z
Zr1 0.000 0.000 0.500
Al1 0.000 0.000 0.000
Ru1 0.500 0.500 0.500
```

The total magnetization is 0.05 μB/atom.


Most stable of them? P.